Entry 1:
VASP calculation (SCAN) on RbMg2Ir at its PBEsol-relaxed geometry.

Summary:
spin magnetization	0.00	μB/f.u.
energy relative to the elements	0.43	eV/atom
excess energy over the best structure of this formula in the dataset	37	meV per atom

a b c (Å): 6.983 6.983 6.983
angles (deg): 90.00 90.00 90.00
Space group Fm-3m (No. 225)
Unique sites:
Rb  0.000  0.000  0.000
Mg  0.250  0.250  0.250
Ir  0.000  0.000  0.500

***

Entry 2:
VASP calculation (SCAN) on MgReIr2 at its PBEsol-relaxed geometry.

Summary:
spin magnetization	0.00	μB/f.u.
energy relative to the elements	-0.38	eV/atom

a b c (Å): 2.794 2.794 7.538
angles (deg): 90.00 90.00 90.00
Space group P4/mmm (No. 123)
Unique sites:
Mg  0.000  0.000  0.000
Re  0.000  0.000  0.500
Ir  0.500  0.500  0.263